Version P
Here is a relaxed FeTc5 crystal from the Alexandria database. Energies are from PBEsol.

Properties
**SG**: P4/mmm (123)
**Crystal system**: tetragonal
**V**: 80 Å³/cell
**Density of states at the Fermi level**: 6.7 states/eV/cell

Cell and atoms, written as POSCAR:
```
FeTc5
1.0
2.666 0.000 0.000
0.000 2.666 0.000
0.000 0.000 11.241
Fe Tc
1 5
direct
0.000 0.000 0.000
0.000 0.000 0.329
0.000 0.000 0.671
0.500 0.500 0.151
0.500 0.500 0.500
0.500 0.500 0.849
```

=====

Version Q
Here is a relaxed FeTc5 crystal from the Alexandria database. Energies are from PBEsol.

Properties
**SG**: Cmmm (65)
**Crystal system**: orthorhombic
**V**: 160 Å³/cell
**Density of states at the Fermi level**: 13.1 states/eV/cell

Cell and atoms, written as POSCAR:
```
FeTc5
1.0
3.770 0.000 0.000
0.000 11.310 0.000
0.000 0.000 3.763
Fe Tc
2 10
direct
0.000 0.000 0.000
0.500 0.500 0.000
0.000 0.162 0.500
0.000 0.339 0.000
0.000 0.500 0.500
0.000 0.661 0.000
0.000 0.838 0.500
0.500 0.000 0.500
0.500 0.161 0.000
0.500 0.338 0.500
0.500 0.662 0.500
0.500 0.839 0.000
```

=====

Which structure wins on stability? version Q wins.